CdAgSe2: optimized geometry, GGA-PBE.

Computed properties:
For the total energy, the calculation gives -11.669 eV/f.u. The value obtained for the formation energy without anion corrections is -0.233 eV/atom.

abc: 6.1350 6.1350 12.0039
angles: 90.00 90.00 90.00
Closest atoms and distances in Å follow each position.
Space group I-42d (No. 122)
One atom of each set of equivalent atoms:
Cd 0.0000 0.0000 0.0000  4 Se 2.67
Ag 0.0000 0.0000 0.5000  4 Se 2.60
Se 0.2406 0.2500 0.6250  2 Ag 2.60, 2 Cd 2.67

***

CdAg2Se: optimized geometry, GGA-PBE.

Computed properties:
The offset from the most stable computed form comes out at 0.074 eV/atom. For the total energy, the calculation gives -9.992 eV/f.u. The value obtained for the formation energy without anion corrections is 0.027 eV/atom.

abc: 2.9504 4.9098 5.8444
angles: 90.00 103.43 90.00
Closest atoms and distances in Å follow each position.
Space group Pm (No. 6)
One atom of each set of equivalent atoms:
Cd 0.0000 0.0000 0.0000  2 Cd 2.95, 7 Ag 2.95-3.13, 2 Se 3.05
Ag 0.5846 0.5000 0.1720  3 Se 2.90-3.20, 4 Ag 2.92-2.95, 4 Cd 3.02-3.03
Ag 0.7075 0.0000 0.4498  2 Se 2.79, 4 Ag 2.92-2.95, 2 Cd 2.95
Se 0.8245 0.5000 0.6814  4 Ag 2.79-3.11, 2 Se 2.95, 2 Cd 3.05

***

Cd3AgSe: optimized geometry, GGA-PBE.

Computed properties:
The offset from the most stable computed form comes out at 0.000 eV/atom. For the total energy, the calculation gives -7.580 eV/f.u. The value obtained for the formation energy without anion corrections is 0.300 eV/atom.

abc: 5.2405 5.2405 5.2405
angles: 90.00 90.00 90.00
Closest atoms and distances in Å follow each position.
Space group Pm-3m (No. 221)
One atom of each set of equivalent atoms:
Cd 0.0000 0.0000 0.5000  2 Ag 2.62
Ag 0.0000 0.0000 0.0000  6 Cd 2.62
Se 0.5000 0.5000 0.5000  12 Cd 3.71

***

Cd2Ag2Se: optimized geometry, GGA-PBE.

Computed properties:
The offset from the most stable computed form comes out at 0.000 eV/atom. For the total energy, the calculation gives -10.851 eV/f.u. The value obtained for the formation energy without anion corrections is 0.033 eV/atom.

abc: 7.2276 7.2276 4.1234
angles: 90.00 90.00 90.00
Closest atoms and distances in Å follow each position.
Space group P4/mbm (No. 127)
One atom of each set of equivalent atoms:
Cd 0.1570 0.3430 0.0000  6 Ag 2.92-2.98, 1 Cd 3.21
Ag 0.1407 0.6407 0.5000  2 Se 2.79, 1 Ag 2.88, 6 Cd 2.92-2.98
Se 0.0000 0.0000 0.5000  4 Ag 2.79